Density functional theory data (GGA-PBE) for a relaxed structure of Y4PtPbSe2.

abc: 7.135 4.051 7.654
angles: 90.00 108.28 90.00
Atoms (fractional coordinates):
Y1 0.226 0.000 0.241
Y2 0.234 0.500 0.737
Y3 0.766 0.500 0.263
Y4 0.774 0.000 0.759
Pt1 0.000 0.500 0.000
Pb1 0.500 0.000 0.000
Se1 0.000 0.000 0.500
Se2 0.500 0.500 0.500

**E_tot**: -6.5914 eV/atom
**Formation energy without anion corrections**: -980 kJ/mol of formula units